(1)
# Sm3TePSe

Sm3TePSe after structural relaxation (PBE-GGA, Alexandria via LeMat-Bulk).

The value obtained for the formation energy (no corrections) is -804 kJ/mol of formula units. The total magnetization comes out at 0.033 μB per atom. Its space group is No. 15. As for the uncorrected energy: -34.522 eV per formula unit.

a b c (Å): 6.994 7.082 8.228
angles (deg): 64.51 82.45 72.22
Each line ends with the local moment (μB).
Fractional positions:
Sm: 0.999 0.696 0.138  0.01
Sm: 0.501 0.166 0.138  0.01
Se: 0.250 0.562 0.877  0.00
Sm: 0.750 0.245 0.510  0.07
Se: 0.750 0.438 0.123  0.00
Te: 0.250 0.251 0.498  0.00
Te: 0.750 0.749 0.502  0.00
P: 0.250 0.939 0.123  0.00
Sm: 0.499 0.834 0.862  0.01
Sm: 0.001 0.304 0.862  0.01
Sm: 0.250 0.755 0.490  0.07
P: 0.750 0.061 0.877  0.00


(2)
# LiHoS2

LiHoS2 after structural relaxation (PBE-GGA, Alexandria via LeMat-Bulk).

The value obtained for the formation energy (no corrections) is -692 kJ/mol of formula units. The total magnetization comes out at 0.000 μB per atom. Its space group is No. 160. As for the uncorrected energy: -21.917 eV per formula unit.

a b c (Å): 3.868 3.868 6.929
angles (deg): 73.79 73.79 60.00
Fractional positions:
Ho: 0.668 0.668 0.995
S: 0.083 0.083 0.752
Li: 0.491 0.491 0.527
S: 0.258 0.258 0.227


(3)
# ZrZnTe2I

ZrZnTe2I after structural relaxation (PBE-GGA, Alexandria via LeMat-Bulk).

The value obtained for the formation energy (no corrections) is 185 kJ/mol of formula units. The total magnetization comes out at 0.262 μB per atom. Its space group is No. 123. The energy above the most stable polymorph in this dataset is 544 meV/atom. As for the uncorrected energy: -15.733 eV per formula unit.

a b c (Å): 5.264 5.264 5.398
angles (deg): 90.00 90.00 90.00
Each line ends with the local moment (μB).
Fractional positions:
Te: 0.500 0.000 0.000  -0.09
Zn: 0.000 0.000 0.000  0.01
I: 0.000 0.000 0.500  -0.06
Zr: 0.500 0.500 0.500  1.10
Te: 0.000 0.500 0.000  -0.09